1.
# Li2FeSiO4, optimized geometry, DFT PBE+U
data_Li2FeSiO4
_chemical_formula_sum 'Li4 Fe2 Si2 O8'
_symmetry_space_group_name_H-M 'P 1'
_symmetry_Int_Tables_number 1
_symmetry_space_group_name_Hall 'P 1'
_cell_length_a 5.0539
_cell_length_b 5.4996
_cell_length_c 6.3082
_cell_angle_alpha 91.47
_cell_angle_beta 90.00
_cell_angle_gamma 90.00
loop_
_atom_site_label
_atom_site_fract_x
_atom_site_fract_y
_atom_site_fract_z
_atom_site_occupancy
Li1 0.5058 0.1670 0.9968 1
Li2 0.0058 0.8330 0.0032 1
Li3 0.0046 0.3465 0.2258 1
Li4 0.5046 0.6535 0.7742 1
Fe1 0.0022 0.8158 0.5136 1
Fe2 0.5022 0.1842 0.4864 1
Si1 0.9992 0.3217 0.7561 1
Si2 0.4992 0.6783 0.2439 1
O1 0.0913 0.1805 0.5246 1
O2 0.5913 0.8195 0.4754 1
O3 0.1120 0.1766 0.9583 1
O4 0.6120 0.8234 0.0417 1
O5 0.6724 0.3263 0.7510 1
O6 0.1724 0.6737 0.2490 1
O7 0.6108 0.3953 0.2484 1
O8 0.1108 0.6047 0.7516 1
# Energy relative to the lowest polymorph listed for this composition   0.17 eV per formula unit
# SG   P2_1

---

2.
# Li4FeSi2O8, optimized geometry, DFT PBE+U
data_Li4FeSi2O8
_chemical_formula_sum 'Li4 Fe1 Si2 O8'
_symmetry_space_group_name_H-M 'P 1'
_symmetry_Int_Tables_number 1
_symmetry_space_group_name_Hall 'P 1'
_cell_length_a 4.8578
_cell_length_b 5.4684
_cell_length_c 6.1465
_cell_angle_alpha 96.89
_cell_angle_beta 92.19
_cell_angle_gamma 97.92
loop_
_atom_site_label
_atom_site_fract_x
_atom_site_fract_y
_atom_site_fract_z
_atom_site_occupancy
Li1 0.1662 0.2945 0.5259 1
Li2 0.8338 0.7055 0.4741 1
Li3 0.2190 0.5285 0.1878 1
Li4 0.7810 0.4715 0.8122 1
Fe1 0.0000 0.0000 0.0000 1
Si1 0.3571 0.8208 0.7272 1
Si2 0.6429 0.1792 0.2728 1
O1 0.1773 0.7043 0.9320 1
O2 0.8227 0.2957 0.0680 1
O3 0.2429 0.6668 0.4941 1
O4 0.7571 0.3332 0.5059 1
O5 0.3104 0.1809 0.2321 1
O6 0.6896 0.8191 0.7679 1
O7 0.2398 0.0969 0.7680 1
O8 0.7602 0.9031 0.2320 1
# SG   P-1
# Electronic total energy   -6.415 eV/atom

---

3.
# LiFeSiO4, optimized geometry, DFT PBE+U
data_LiFeSiO4
_chemical_formula_sum 'Li2 Fe2 Si2 O8'
_symmetry_space_group_name_H-M 'P 1'
_symmetry_Int_Tables_number 1
_symmetry_space_group_name_Hall 'P 1'
_cell_length_a 5.1858
_cell_length_b 5.1858
_cell_length_c 6.7125
_cell_angle_alpha 90.00
_cell_angle_beta 90.00
_cell_angle_gamma 90.46
loop_
_atom_site_label
_atom_site_fract_x
_atom_site_fract_y
_atom_site_fract_z
_atom_site_occupancy
Li1 0.8049 0.1951 0.7500 1
Li2 0.1951 0.8049 0.2500 1
Fe1 0.8150 0.1850 0.2500 1
Fe2 0.1850 0.8150 0.7500 1
Si1 0.6817 0.6817 0.5000 1
Si2 0.3183 0.3183 0.0000 1
O1 0.6299 0.2625 0.0136 1
O2 0.7375 0.3701 0.4864 1
O3 0.2625 0.6299 0.9864 1
O4 0.3701 0.7375 0.5136 1
O5 0.8241 0.8030 0.6983 1
O6 0.8030 0.8241 0.3017 1
O7 0.1970 0.1759 0.8017 1
O8 0.1759 0.1970 0.1983 1
# Energy relative to the lowest polymorph listed for this composition   0.16 eV per formula unit
# SG   C222_1

---

4.
# Li2FeSiO4, optimized geometry, DFT PBE+U
data_Li2FeSiO4
_chemical_formula_sum 'Li4 Fe2 Si2 O8'
_symmetry_space_group_name_H-M 'P 1'
_symmetry_Int_Tables_number 1
_symmetry_space_group_name_Hall 'P 1'
_cell_length_a 5.3981
_cell_length_b 5.3981
_cell_length_c 6.2372
_cell_angle_alpha 90.00
_cell_angle_beta 90.00
_cell_angle_gamma 93.15
loop_
_atom_site_label
_atom_site_fract_x
_atom_site_fract_y
_atom_site_fract_z
_atom_site_occupancy
Li1 0.3245 0.3245 0.5000 1
Li2 0.6755 0.6755 0.0000 1
Li3 0.8094 0.1906 0.7500 1
Li4 0.1906 0.8094 0.2500 1
Fe1 0.8224 0.1776 0.2500 1
Fe2 0.1776 0.8224 0.7500 1
Si1 0.3212 0.3212 0.0000 1
Si2 0.6788 0.6788 0.5000 1
O1 0.2004 0.1900 0.2189 1
O2 0.1900 0.2004 0.7811 1
O3 0.7996 0.8100 0.7189 1
O4 0.8100 0.7996 0.2811 1
O5 0.6246 0.2918 0.9990 1
O6 0.2918 0.6246 0.0010 1
O7 0.7082 0.3754 0.5010 1
O8 0.3754 0.7082 0.4990 1
# Energy relative to the lowest polymorph listed for this composition   0.08 eV per formula unit
# SG   C222_1

---

5.
# Li2FeSiO5, optimized geometry, DFT PBE+U
data_Li2FeSiO5
_chemical_formula_sum 'Li4 Fe2 Si2 O10'
_symmetry_space_group_name_H-M 'P 1'
_symmetry_Int_Tables_number 1
_symmetry_space_group_name_Hall 'P 1'
_cell_length_a 6.4309
_cell_length_b 6.4309
_cell_length_c 4.4892
_cell_angle_alpha 90.00
_cell_angle_beta 90.00
_cell_angle_gamma 90.00
loop_
_atom_site_label
_atom_site_fract_x
_atom_site_fract_y
_atom_site_fract_z
_atom_site_occupancy
Li1 0.0000 0.0000 0.0000 1
Li2 0.0000 0.5000 0.0000 1
Li3 0.5000 0.5000 0.0000 1
Li4 0.5000 0.0000 0.0000 1
Fe1 0.2500 0.2500 0.6062 1
Fe2 0.7500 0.7500 0.3938 1
Si1 0.2500 0.7500 0.5000 1
Si2 0.7500 0.2500 0.5000 1
O1 0.0469 0.7500 0.2785 1
O2 0.2500 0.2500 0.2120 1
O3 0.2500 0.5469 0.7215 1
O4 0.2500 0.9531 0.7215 1
O5 0.4531 0.7500 0.2785 1
O6 0.5469 0.2500 0.7215 1
O7 0.7500 0.0469 0.2785 1
O8 0.7500 0.4531 0.2785 1
O9 0.7500 0.7500 0.7880 1
O10 0.9531 0.2500 0.7215 1
# SG   P4/nmm
# Electronic total energy   -6.387 eV/atom

---

6.
# LiFeSiO4, optimized geometry, DFT PBE+U
data_LiFeSiO4
_chemical_formula_sum 'Li2 Fe2 Si2 O8'
_symmetry_space_group_name_H-M 'P 1'
_symmetry_Int_Tables_number 1
_symmetry_space_group_name_Hall 'P 1'
_cell_length_a 5.4244
_cell_length_b 5.4244
_cell_length_c 8.9338
_cell_angle_alpha 65.27
_cell_angle_beta 65.27
_cell_angle_gamma 53.33
loop_
_atom_site_label
_atom_site_fract_x
_atom_site_fract_y
_atom_site_fract_z
_atom_site_occupancy
Li1 0.4553 0.2649 0.1311 1
Li2 0.2649 0.4553 0.6311 1
Fe1 0.5221 0.8103 0.4950 1
Fe2 0.8103 0.5221 0.9950 1
Si1 0.1264 0.9096 0.2531 1
Si2 0.9096 0.1264 0.7531 1
O1 0.7852 0.9317 0.3043 1
O2 0.0979 0.2542 0.1409 1
O3 0.3985 0.6526 0.1358 1
O4 0.2387 0.8051 0.4248 1
O5 0.9317 0.7852 0.8043 1
O6 0.2542 0.0979 0.6409 1
O7 0.6526 0.3985 0.6358 1
O8 0.8051 0.2387 0.9248 1
# Energy relative to the lowest polymorph listed for this composition   0.34 eV per formula unit
# SG   Cc

---

7.
# LiFeSiO4, optimized geometry, DFT PBE+U
data_LiFeSiO4
_chemical_formula_sum 'Li4 Fe4 Si4 O16'
_symmetry_space_group_name_H-M 'P 1'
_symmetry_Int_Tables_number 1
_symmetry_space_group_name_Hall 'P 1'
_cell_length_a 5.4161
_cell_length_b 8.0449
_cell_length_c 8.3323
_cell_angle_alpha 75.38
_cell_angle_beta 90.00
_cell_angle_gamma 90.00
loop_
_atom_site_label
_atom_site_fract_x
_atom_site_fract_y
_atom_site_fract_z
_atom_site_occupancy
Li1 0.8436 0.8173 0.4401 1
Li2 0.2008 0.5827 0.9339 1
Li3 0.7008 0.4173 0.0661 1
Li4 0.3436 0.1827 0.5599 1
Fe1 0.9684 0.9442 0.7535 1
Fe2 0.1854 0.5619 0.2814 1
Fe3 0.6854 0.4381 0.7186 1
Fe4 0.4684 0.0558 0.2465 1
Si1 0.3410 0.7702 0.5667 1
Si2 0.6841 0.7504 0.0907 1
Si3 0.1841 0.2496 0.9093 1
Si4 0.8410 0.2298 0.4333 1
O1 0.3875 0.9734 0.4746 1
O2 0.6669 0.8656 0.2261 1
O3 0.1818 0.7595 0.7369 1
O4 0.9243 0.6177 0.1241 1
O5 0.1662 0.6902 0.4406 1
O6 0.6074 0.6683 0.6036 1
O7 0.7109 0.8718 0.9030 1
O8 0.4441 0.6161 0.1153 1
O9 0.9441 0.3839 0.8847 1
O10 0.2109 0.1282 0.0970 1
O11 0.1074 0.3317 0.3964 1
O12 0.6662 0.3098 0.5594 1
O13 0.4243 0.3823 0.8759 1
O14 0.6818 0.2405 0.2631 1
O15 0.1669 0.1344 0.7739 1
O16 0.8875 0.0266 0.5254 1
# Energy relative to the lowest polymorph listed for this composition   0.29 eV per formula unit
# SG   P2_1

---

8.
# LiFeSiO4, optimized geometry, DFT PBE+U
data_LiFeSiO4
_chemical_formula_sum 'Li4 Fe4 Si4 O16'
_symmetry_space_group_name_H-M 'P 1'
_symmetry_Int_Tables_number 1
_symmetry_space_group_name_Hall 'P 1'
_cell_length_a 5.3492
_cell_length_b 8.2615
_cell_length_c 8.4437
_cell_angle_alpha 74.02
_cell_angle_beta 90.00
_cell_angle_gamma 90.00
loop_
_atom_site_label
_atom_site_fract_x
_atom_site_fract_y
_atom_site_fract_z
_atom_site_occupancy
Li1 0.1550 0.9710 0.9228 1
Li2 0.6632 0.5012 0.7186 1
Li3 0.8450 0.9710 0.4228 1
Li4 0.3368 0.5012 0.2186 1
Fe1 0.6646 0.8648 0.7937 1
Fe2 0.1705 0.3705 0.6144 1
Fe3 0.3354 0.8648 0.2937 1
Fe4 0.8295 0.3705 0.1144 1
Si1 0.3338 0.2469 0.9913 1
Si2 0.1668 0.7406 0.6715 1
Si3 0.6662 0.2469 0.4913 1
Si4 0.8332 0.7406 0.1715 1
O1 0.8206 0.8817 0.9895 1
O2 0.6187 0.3228 0.9534 1
O3 0.3169 0.8140 0.8081 1
O4 0.8700 0.7038 0.7253 1
O5 0.2174 0.2153 0.8216 1
O6 0.3051 0.5684 0.6554 1
O7 0.1794 0.8817 0.4895 1
O8 0.8260 0.3811 0.5648 1
O9 0.6934 0.0565 0.6158 1
O10 0.3813 0.3228 0.4534 1
O11 0.6831 0.8140 0.3081 1
O12 0.1300 0.7038 0.2253 1
O13 0.7826 0.2153 0.3216 1
O14 0.6949 0.5684 0.1554 1
O15 0.1740 0.3811 0.0648 1
O16 0.3066 0.0565 0.1158 1
# Energy relative to the lowest polymorph listed for this composition   0.21 eV per formula unit
# SG   Pc

---

Across the entries above, mass density takes the values 3.1, 2.8, 2.8, 3.0, 3.2, 2.8, 2.9, 2.9 g cm⁻³, respectively.